# Co2RuPt

Co2RuPt after structural relaxation (PBE, Alexandria).

CIF file:
```
data_Co2RuPt
_cell_length_a 5.3346
_cell_length_b 7.2937
_cell_length_c 2.6505
_cell_angle_alpha 90.00
_cell_angle_beta 90.00
_cell_angle_gamma 90.00
_space_group_name_H-M_alt 'C m m m'
_space_group_IT_number 65
_space_group_name_Hall '-C 2 2'
loop_
_atom_site_label
_atom_site_fract_x
_atom_site_fract_y
_atom_site_fract_z
Co1 0.2500 0.2500 0.0000
Ru1 0.0000 0.0000 0.5000
Pt1 0.0000 0.5000 0.5000
```

Computed properties:
calculated volume = 103.1 Å³ per cell
DFT formation energy = 93 meV per atom
ΔE to the lowest computed polymorph = 0.0279 eV/atom
total moment = 6.3 Bohr magnetons per cell

=====

# Tl2GeSb

Tl2GeSb after structural relaxation (PBE, Alexandria).

CIF file:
```
data_Tl2GeSb
_cell_length_a 6.6306
_cell_length_b 6.6306
_cell_length_c 12.8358
_cell_angle_alpha 90.00
_cell_angle_beta 90.00
_cell_angle_gamma 90.00
_space_group_name_H-M_alt 'I -4 2 d'
_space_group_IT_number 122
_space_group_name_Hall 'I -4 2bw'
loop_
_atom_site_label
_atom_site_fract_x
_atom_site_fract_y
_atom_site_fract_z
Tl1 0.2245 0.2500 0.1250
Ge1 0.0000 0.0000 0.0000
Sb1 0.0000 0.0000 0.5000
```

Computed properties:
calculated volume = 564.3 Å³ per cell
ΔE to the lowest computed polymorph = 0.0230 eV/atom
raw formation energy = 0.2877 eV per atom
total moment = 0.0 Bohr magnetons per cell

=====

# TlZn2I8

TlZn2I8 after structural relaxation (PBE, Alexandria).

CIF file:
```
data_TlZn2I8
_cell_length_a 12.4928
_cell_length_b 13.3111
_cell_length_c 7.4598
_cell_angle_alpha 90.00
_cell_angle_beta 109.34
_cell_angle_gamma 90.00
_space_group_name_H-M_alt 'C 1 2/m 1'
_space_group_IT_number 12
loop_
_space_group_symop_operation_xyz
'x,y,z'
'-x,-y,-z'
'-x,y,-z'
'x,-y,z'
'x+1/2,y+1/2,z'
'-x+1/2,-y+1/2,-z'
'-x+1/2,y+1/2,-z'
'x+1/2,-y+1/2,z'
loop_
_atom_site_label
_atom_site_fract_x
_atom_site_fract_y
_atom_site_fract_z
Tl1 0.0000 0.0000 0.0000
Zn1 0.1937 0.0000 0.6917
I1 0.0664 0.5000 0.1982
I2 0.1181 0.1604 0.8013
I3 0.2361 0.0000 0.3701
```

Computed properties:
calculated volume = 1170.5 Å³ per cell
raw formation energy = -0.3598 eV per atom
total moment = 0.0 Bohr magnetons per cell